Below is K2ReMoO6 after structural relaxation, with properties calculated at the PBE+U level.

Calculated values
- ρ (g cm⁻³) = 5.951
- electronic total energy (eV for the cell shown) = -68.85

abc: 5.6778 5.6778 3.9498
angles: 90.00 90.00 90.00
Space group P4/mmm (No. 123)
Asymmetric unit:
1 K 0.0000 0.5000 0.0000 [2 per cell]
2 Re 0.0000 0.0000 0.5000 [1 per cell]
3 Mo 0.5000 0.5000 0.5000 [1 per cell]
4 O 0.0000 0.0000 0.0000 [1 per cell]
5 O 0.2402 0.2402 0.5000 [4 per cell]
6 O 0.5000 0.5000 0.0000 [1 per cell]